# ZrCu2W

A geometry-optimized ZrCu2W structure (PBE, Alexandria).

Cell: 5.038 5.038 5.038 Å, 135.13 135.13 65.33°
Element x y z (fractional)
Zr 0.000 0.000 0.000
Cu 0.250 0.750 0.500
Cu 0.500 0.500 0.000
W 0.750 0.250 0.500

Summary:
space-group type	I-4m2 (119)
energy relative to the lowest polymorph listed for this composition	0.56	eV/f.u.
crystal system	tetragonal
magnetic moment	0.000	μB per atom

=====

# ZrCu2W

A geometry-optimized ZrCu2W structure (PBE, Alexandria).

Cell: 9.567 9.567 9.567 Å, 16.77 16.77 16.77°
Element x y z (fractional)
Zr 0.000 0.000 0.000
Cu 0.246 0.246 0.246
Cu 0.754 0.754 0.754
W 0.500 0.500 0.500

Summary:
space-group type	R-3m (166)
energy relative to the lowest polymorph listed for this composition	0.84	eV/f.u.
crystal system	trigonal
magnetic moment	0.000	μB per atom

=====

# ZrCu2W

A geometry-optimized ZrCu2W structure (PBE, Alexandria).

Cell: 2.813 2.813 7.847 Å, 90.00 90.00 90.00°
Element x y z (fractional)
Zr 0.000 0.000 0.000
Cu 0.000 0.000 0.467
Cu 0.500 0.500 0.268
W 0.500 0.500 0.700

Summary:
space-group type	P4mm (99)
energy relative to the lowest polymorph listed for this composition	0.00	eV/f.u.
crystal system	tetragonal
magnetic moment	0.000	μB per atom

=====

# Y2Cu

A geometry-optimized Y2Cu structure (PBE, Alexandria).

Cell: 13.335 13.335 13.335 Å, 165.11 165.11 21.11°
Element x y z (fractional)
Y 0.310 0.560 0.750
Y 0.440 0.690 0.750
Y 0.560 0.310 0.250
Y 0.690 0.440 0.250
Cu 0.125 0.875 0.250
Cu 0.875 0.125 0.750

Summary:
space-group type	I4_1/amd (141)
crystal system	tetragonal
magnetic moment	0.001	μB per atom

=====

# Y3Cu5

A geometry-optimized Y3Cu5 structure (PBE, Alexandria).

Cell: 5.828 5.828 4.776 Å, 90.00 90.00 108.44°
Element x y z (fractional)
Y 0.000 0.000 0.000
Y 0.289 0.711 0.500
Y 0.711 0.289 0.500
Cu 0.000 0.500 0.000
Cu 0.204 0.204 0.500
Cu 0.500 0.000 0.000
Cu 0.500 0.500 0.000
Cu 0.796 0.796 0.500

Summary:
space-group type	Cmmm (65)
energy relative to the lowest polymorph listed for this composition	0.73	eV/f.u.
crystal system	orthorhombic
magnetic moment	0.000	μB per atom

=====

# Y7Cu6

A geometry-optimized Y7Cu6 structure (PBE, Alexandria).

Cell: 9.502 9.502 9.502 Å, 40.09 40.09 40.09°
Element x y z (fractional)
Y 0.000 0.000 0.000
Y 0.085 0.085 0.568
Y 0.085 0.568 0.085
Y 0.432 0.915 0.915
Y 0.568 0.085 0.085
Y 0.915 0.432 0.915
Y 0.915 0.915 0.432
Cu 0.165 0.165 0.165
Cu 0.354 0.354 0.354
Cu 0.451 0.451 0.451
Cu 0.549 0.549 0.549
Cu 0.646 0.646 0.646
Cu 0.835 0.835 0.835

Summary:
space-group type	R-3m (166)
crystal system	trigonal
magnetic moment	0.000	μB per atom

=====

# Y5Cu6

A geometry-optimized Y5Cu6 structure (PBE, Alexandria).

Cell: 8.390 8.390 4.816 Å, 106.66 106.66 118.59°
Element x y z (fractional)
Y 0.000 0.000 0.000
Y 0.177 0.823 0.500
Y 0.360 0.640 0.000
Y 0.640 0.360 0.000
Y 0.823 0.177 0.500
Cu 0.037 0.400 0.218
Cu 0.202 0.202 0.701
Cu 0.400 0.037 0.218
Cu 0.600 0.963 0.782
Cu 0.798 0.798 0.299
Cu 0.963 0.600 0.782

Summary:
space-group type	C2/m (12)
crystal system	monoclinic
magnetic moment	0.000	μB per atom

=====

# Y2Cu17

A geometry-optimized Y2Cu17 structure (PBE, Alexandria).

Cell: 6.461 6.461 6.461 Å, 82.79 82.79 82.79°
Element x y z (fractional)
Y 0.159 0.159 0.159
Y 0.841 0.841 0.841
Cu 0.000 0.500 0.500
Cu 0.154 0.154 0.654
Cu 0.154 0.654 0.154
Cu 0.205 0.500 0.795
Cu 0.205 0.795 0.500
Cu 0.346 0.846 0.846
Cu 0.402 0.402 0.402
Cu 0.500 0.000 0.500
Cu 0.500 0.205 0.795
Cu 0.500 0.500 0.000
Cu 0.500 0.795 0.205
Cu 0.598 0.598 0.598
Cu 0.654 0.154 0.154
Cu 0.795 0.205 0.500
Cu 0.795 0.500 0.205
Cu 0.846 0.346 0.846
Cu 0.846 0.846 0.346

Summary:
space-group type	R-3m (166)
crystal system	trigonal
magnetic moment	0.000	μB per atom

=====

# Y8Cu

A geometry-optimized Y8Cu structure (PBE, Alexandria).

Cell: 7.835 7.835 7.835 Å, 95.48 95.48 144.01°
Element x y z (fractional)
Y 0.000 0.332 0.332
Y 0.000 0.668 0.668
Y 0.332 0.000 0.332
Y 0.340 0.340 0.679
Y 0.340 0.660 0.000
Y 0.660 0.340 0.000
Y 0.660 0.660 0.321
Y 0.668 0.000 0.668
Cu 0.000 0.000 0.000

Summary:
space-group type	I4/mmm (139)
crystal system	tetragonal
magnetic moment	0.000	μB per atom

=====

# Y2Cu

A geometry-optimized Y2Cu structure (PBE, Alexandria).

Cell: 5.106 5.106 3.112 Å, 90.00 90.00 120.00°
Element x y z (fractional)
Y 0.333 0.667 0.000
Y 0.667 0.333 0.000
Cu 0.000 0.000 0.500

Summary:
space-group type	P6/mmm (191)
crystal system	hexagonal
magnetic moment	0.000	μB per atom

=====

# Y2Cu

A geometry-optimized Y2Cu structure (PBE, Alexandria).

Cell: 6.579 6.579 6.715 Å, 90.00 90.00 147.71°
Element x y z (fractional)
Y 0.026 0.974 0.500
Y 0.292 0.708 0.673
Y 0.708 0.292 0.173
Y 0.974 0.026 0.000
Cu 0.383 0.617 0.272
Cu 0.617 0.383 0.772

Summary:
space-group type	Cmc2_1 (36)
crystal system	orthorhombic
magnetic moment	0.000	μB per atom

=====

# Y2Cu

A geometry-optimized Y2Cu structure (PBE, Alexandria).

Cell: 9.475 9.475 9.475 Å, 60.00 60.00 60.00°
Element x y z (fractional)
Y 0.000 0.000 0.000
Y 0.000 0.000 0.500
Y 0.000 0.500 0.000
Y 0.188 0.188 0.562
Y 0.188 0.562 0.188
Y 0.188 0.562 0.562
Y 0.438 0.438 0.812
Y 0.438 0.812 0.438
Y 0.438 0.812 0.812
Y 0.500 0.000 0.000
Y 0.562 0.188 0.188
Y 0.562 0.188 0.562
Y 0.562 0.562 0.188
Y 0.812 0.438 0.438
Y 0.812 0.438 0.812
Y 0.812 0.812 0.438
Cu 0.162 0.779 0.779
Cu 0.221 0.221 0.221
Cu 0.221 0.221 0.838
Cu 0.221 0.838 0.221
Cu 0.779 0.162 0.779
Cu 0.779 0.779 0.162
Cu 0.779 0.779 0.779
Cu 0.838 0.221 0.221

Summary:
space-group type	Fd-3m (227)
crystal system	cubic
magnetic moment	0.000	μB per atom

=====

# Y2Cu

A geometry-optimized Y2Cu structure (PBE, Alexandria).

Cell: 6.632 6.919 3.682 Å, 90.00 90.00 90.00°
Element x y z (fractional)
Y 0.222 0.163 0.000
Y 0.278 0.663 0.500
Y 0.722 0.337 0.500
Y 0.778 0.837 0.000
Cu 0.000 0.500 0.000
Cu 0.500 0.000 0.500

Summary:
space-group type	Pnnm (58)
crystal system	orthorhombic
magnetic moment	0.000	μB per atom

=====

# Y5Cu2

A geometry-optimized Y5Cu2 structure (PBE, Alexandria).

Cell: 8.909 8.909 6.893 Å, 95.51 95.51 43.51°
Element x y z (fractional)
Y 0.058 0.942 0.750
Y 0.156 0.282 0.300
Y 0.282 0.156 0.800
Y 0.293 0.517 0.060
Y 0.483 0.707 0.440
Y 0.517 0.293 0.560
Y 0.707 0.483 0.940
Y 0.718 0.844 0.200
Y 0.844 0.718 0.700
Y 0.942 0.058 0.250
Cu 0.096 0.684 0.440
Cu 0.316 0.904 0.060
Cu 0.684 0.096 0.940
Cu 0.904 0.316 0.560

Summary:
space-group type	C2/c (15)
crystal system	monoclinic
magnetic moment	0.000	μB per atom

=====

# YCu3

A geometry-optimized YCu3 structure (PBE, Alexandria).

Cell: 5.072 5.072 5.072 Å, 90.00 90.00 90.00°
Element x y z (fractional)
Y 0.000 0.000 0.000
Y 0.500 0.500 0.500
Cu 0.000 0.250 0.500
Cu 0.000 0.750 0.500
Cu 0.250 0.500 0.000
Cu 0.500 0.000 0.250
Cu 0.500 0.000 0.750
Cu 0.750 0.500 0.000

Summary:
space-group type	Pm-3n (223)
crystal system	cubic
magnetic moment	0.000	μB per atom

=====

# YCu3

A geometry-optimized YCu3 structure (PBE, Alexandria).

Cell: 3.635 3.635 5.331 Å, 90.00 90.00 90.00°
Element x y z (fractional)
Y 0.000 0.000 0.000
Cu 0.000 0.500 0.555
Cu 0.500 0.000 0.555
Cu 0.500 0.500 0.247

Summary:
space-group type	P4mm (99)
crystal system	tetragonal
magnetic moment	0.000	μB per atom

=====

# Y2Cu

A geometry-optimized Y2Cu structure (PBE, Alexandria).

Cell: 5.851 5.851 5.851 Å, 106.52 106.52 115.54°
Element x y z (fractional)
Y 0.174 0.674 0.848
Y 0.326 0.174 0.500
Y 0.674 0.826 0.500
Y 0.826 0.326 0.152
Cu 0.250 0.250 0.000
Cu 0.750 0.750 0.000

Summary:
space-group type	I4/mcm (140)
crystal system	tetragonal
magnetic moment	0.344	μB per atom

=====

# YCu3

A geometry-optimized YCu3 structure (PBE, Alexandria).

Cell: 3.264 3.264 6.157 Å, 90.00 90.00 90.00°
Element x y z (fractional)
Y 0.000 0.000 0.000
Cu 0.000 0.000 0.500
Cu 0.500 0.500 0.302
Cu 0.500 0.500 0.698

Summary:
space-group type	P4/mmm (123)
crystal system	tetragonal
magnetic moment	0.000	μB per atom

=====

# Y5Cu4

A geometry-optimized Y5Cu4 structure (PBE, Alexandria).

Cell: 6.818 6.818 6.818 Å, 97.43 97.43 137.84°
Element x y z (fractional)
Y 0.000 0.000 0.000
Y 0.321 0.321 0.643
Y 0.321 0.679 0.000
Y 0.679 0.321 0.000
Y 0.679 0.679 0.357
Cu 0.000 0.355 0.355
Cu 0.000 0.645 0.645
Cu 0.355 0.000 0.355
Cu 0.645 0.000 0.645

Summary:
space-group type	I4/mmm (139)
energy relative to the lowest polymorph listed for this composition	2.61	eV/f.u.
crystal system	tetragonal
magnetic moment	0.001	μB per atom

=====

# YCu3

A geometry-optimized YCu3 structure (PBE, Alexandria).

Cell: 3.465 4.288 4.863 Å, 90.00 90.26 90.00°
Element x y z (fractional)
Y 0.000 0.000 0.000
Cu 0.497 0.500 0.748
Cu 0.500 0.000 0.500
Cu 0.503 0.500 0.252

Summary:
space-group type	P2/m (10)
crystal system	monoclinic
magnetic moment	0.000	μB per atom

=====

Formation energy from the elements readings, ordered: 0.305; 0.376; 0.166; -0.018; -0.097; 0.466; -0.075; -0.121; 0.106; 0.413; -0.127; -0.119; 0.041; -0.129; -0.106; 0.005; -0.108; -0.074; 0.181; -0.041 eV per atom